Computed, not measured: a crystal of La2Al relaxed with PBEsol at the SCAN level of DFT.

Summary:
For the formation energy, the calculation gives -0.7 eV per formula unit. Its total moment is 0.00 μB per formula unit. The calculation puts the energy at -189.24 eV/cell.

Lattice parameters (Å, degrees): 3.5023 3.5023 14.2519 90.00 90.00 90.00
With the nearest neighbours (Å) after each atom.
Fractional coordinates of all 6 atoms:
La 0.0000 0.0000 0.1446  4 Al 3.22, 4 La 3.50
La 0.0000 0.0000 0.8554  4 Al 3.22, 4 La 3.50
La 0.5000 0.5000 0.3554  4 Al 3.22, 4 La 3.50
La 0.5000 0.5000 0.6446  4 Al 3.22, 4 La 3.50
Al 0.0000 0.0000 0.5000  8 La 3.22, 4 Al 3.50
Al 0.5000 0.5000 0.0000  8 La 3.22, 4 Al 3.50